A geometry-optimized LaNiRh2 structure. Source: Alexandria, functional PBEsol.

a = 5.3602 Å, b = 5.3602 Å, c = 2.9365 Å
α = 104.58°, β = 104.58°, γ = 118.57°
With the nearest neighbours (Å) after each atom.
Fractional positions:
1 La 0.0000 0.0000 0.0000  4 Rh 2.71, 4 Ni 2.74-2.86, 2 La 2.94
2 Ni 0.5000 0.5000 0.0000  4 Rh 2.71, 4 La 2.74-2.86, 2 Ni 2.94
3 Rh 0.0000 0.5000 0.5000  2 La 2.71, 2 Ni 2.71, 6 Rh 2.74-2.94
4 Rh 0.5000 0.0000 0.5000  2 La 2.71, 2 Ni 2.71, 6 Rh 2.74-2.94

DFT total energy (eV/atom): -6.988
DFT formation energy (eV per atom): -0.043
Calculated volume (Å³/cell): 64.48
Relative energy among the computed polymorphs (kJ/mol of atoms): 16.2
Total moment (μB per atom): 0.000